[1]
A plane-wave DFT calculation with GGA-PBE was carried out for a relaxed structure of Ac8TlIrPt2.

Results
* E_form: -6.8 eV per formula unit

Cell lengths 7.2706, 7.7587, 8.1029 Å; angles 87.69, 74.91, 88.23 degrees
Closest atoms and distances in Å follow each position.
Space group P-1 (No. 2)
One atom of each set of equivalent atoms:
1 Ac 0.1651 0.0969 0.2906 (multiplicity 2)  1 Ir 3.01, 1 Pt 3.02, 1 Tl 3.36
2 Ac 0.2275 0.2238 0.8332 (multiplicity 2)  1 Ir 3.12, 2 Pt 3.15-3.44, 1 Tl 3.41
3 Ac 0.2536 0.5969 0.4377 (multiplicity 2)  2 Pt 3.09-3.17
4 Ac 0.3162 0.7016 0.9154 (multiplicity 2)  1 Ir 2.90, 1 Pt 3.19
5 Tl 0.5000 0.0000 0.5000 (multiplicity 1)  4 Ac 3.36-3.41
6 Ir 0.5000 0.0000 0.0000 (multiplicity 1)  6 Ac 2.90-3.12
7 Pt 0.0345 0.4514 0.1958 (multiplicity 2)  6 Ac 3.02-3.25

=====

[2]
A plane-wave DFT calculation with GGA-PBE was carried out for a relaxed structure of MnVSbTe2.

Results
* calculated total energy: -5.1805 eV per atom

Cell lengths 5.2286, 5.2286, 5.1752 Å; angles 90.00, 90.00, 90.00 degrees
Closest atoms and distances in Å follow each position.
Space group P4/mmm (No. 123)
One atom of each set of equivalent atoms:
1 Mn 0.0000 0.0000 0.0000 (multiplicity 1)  8 Te 3.68, 4 Sb 3.70
2 V 0.5000 0.5000 0.5000 (multiplicity 1)  2 Sb 2.59, 4 Te 2.61
3 Sb 0.5000 0.5000 0.0000 (multiplicity 1)  2 V 2.59
4 Te 0.0000 0.5000 0.5000 (multiplicity 2)  2 V 2.61

=====

[3]
A plane-wave DFT calculation with GGA-PBE was carried out for a relaxed structure of Cd2In13.

Results
* E_form: 1.5 eV per formula unit

Cell lengths 8.4376, 8.4376, 21.6297 Å; angles 90.00, 90.00, 120.00 degrees
Closest atoms and distances in Å follow each position.
Space group R-3m (No. 166, hexagonal axes)
One atom of each set of equivalent atoms:
1 Cd 0.0000 0.0000 0.2318 (multiplicity 6)  9 In 3.04-3.37
2 In 0.0000 0.0000 0.5000 (multiplicity 3)  6 In 3.47
3 In 0.0832 0.5416 0.5628 (multiplicity 18)  6 In 2.98-3.17, 2 Cd 3.04-3.32
4 In 0.0852 0.5426 0.3037 (multiplicity 18)  8 In 3.11-3.47, 1 Cd 3.37

=====

In order of appearance, N(E_F) = 10.7; 4.3; 12.7 states/eV/cell.